Record 1
VASP calculation (PBE-GGA) on a relaxed Sc2OsN crystal.

Structure (POSCAR):
```
Sc2OsN
1.0
-7.868 -0.487 -1.624
-7.826 -0.863 1.667
-7.742 2.173 0.346
Sc Os N
2 1 1
Cartesian
-21.506 0.755 0.356
-1.930 0.068 0.032
-11.718 0.411 0.194
0.000 0.000 0.000
```

Computed properties:
Space group: R-3m, No. 166
D(E_F) in states/eV/f.u.: 3.66
Total magnetization in μB per cell: 0.00
Formation energy (no corrections) in eV per atom: 0.254

Record 2
VASP calculation (PBE-GGA) on a relaxed ScOs2N2 crystal.

Structure (POSCAR):
```
ScOs2N2
1.0
-1.192 -3.338 4.733
5.011 1.829 2.552
-1.866 2.907 1.580
Sc N Os
2 4 4
Cartesian
1.909 -0.754 3.643
0.000 0.000 0.000
0.407 -0.833 2.014
0.695 -2.179 4.831
3.411 -0.675 5.272
3.123 0.671 2.454
2.180 2.128 3.225
-0.542 0.607 2.809
-0.228 -0.730 5.640
2.494 0.792 6.056
```

Computed properties:
Space group: P4/mbm, No. 127
D(E_F) in states/eV/f.u.: 2.92
Total magnetization in μB per cell: 0.00
Formation energy (no corrections) in eV per atom: -0.232

Record 3
VASP calculation (PBE-GGA) on a relaxed ScOs2N crystal.

Structure (POSCAR):
```
ScOs2N
1.0
6.795 0.000 0.000
0.000 6.795 0.000
3.398 3.398 2.504
N Os Sc
2 4 2
Cartesian
3.398 3.398 0.000
3.398 6.795 1.252
4.225 1.699 0.626
8.494 7.622 1.878
5.096 5.968 1.878
2.571 5.096 0.626
6.795 3.398 1.252
0.000 0.000 0.000
```

Computed properties:
Space group: I-42d, No. 122
D(E_F) in states/eV/f.u.: 2.72
Total magnetization in μB per cell: 0.00
Formation energy (no corrections) in eV per atom: 0.061

Record 4
VASP calculation (PBE-GGA) on a relaxed Sc2OsN crystal.

Structure (POSCAR):
```
Sc2OsN
1.0
6.449 0.000 0.000
0.000 6.449 0.000
3.225 3.225 3.074
Os Sc N
2 4 2
Cartesian
0.000 0.000 0.000
6.449 3.225 1.537
2.096 4.837 0.768
8.062 7.578 2.305
4.354 1.612 0.768
4.837 5.320 2.305
3.225 6.449 1.537
3.225 3.225 0.000
```

Computed properties:
Space group: I-42d, No. 122
D(E_F) in states/eV/f.u.: 3.77
Total magnetization in μB per cell: 0.00
Formation energy (no corrections) in eV per atom: -0.270

Record 5
VASP calculation (PBE-GGA) on a relaxed ScOs2N2 crystal.

Structure (POSCAR):
```
ScOs2N2
1.0
3.795 0.000 0.000
0.000 3.795 0.000
1.897 1.897 4.665
Os N Sc
2 2 1
Cartesian
1.897 3.795 2.333
3.795 1.897 2.333
1.897 1.897 1.392
3.795 3.795 3.273
0.000 0.000 0.000
```

Computed properties:
Space group: I4/mmm, No. 139
D(E_F) in states/eV/f.u.: 4.21
Total magnetization in μB per cell: 0.00
Formation energy (no corrections) in eV per atom: 0.494

Record 6
VASP calculation (PBE-GGA) on a relaxed ScOsSe2N crystal.

Structure (POSCAR):
```
ScOsSe2N
1.0
5.129 0.000 0.000
0.000 5.129 0.000
0.000 0.000 3.881
Sc Se N Os
1 2 1 1
Cartesian
0.000 0.000 0.000
0.000 2.564 0.000
2.564 0.000 0.000
0.000 0.000 1.941
2.564 2.564 1.941
```

Computed properties:
Space group: P4/mmm, No. 123
D(E_F) in states/eV/f.u.: 5.02
Total magnetization in μB per cell: 3.73
Formation energy (no corrections) in eV per atom: 1.024

Record 7
VASP calculation (PBE-GGA) on a relaxed ScOsSeN2 crystal.

Structure (POSCAR):
```
ScOsSeN2
1.0
3.839 0.000 0.000
0.000 3.839 0.000
0.000 0.000 5.281
Os Sc N Se
1 1 2 1
Cartesian
0.000 0.000 0.000
1.919 1.919 2.640
0.000 1.919 0.000
1.919 0.000 0.000
0.000 0.000 2.640
```

Computed properties:
Space group: P4/mmm, No. 123
D(E_F) in states/eV/f.u.: 2.81
Total magnetization in μB per cell: 0.00
Formation energy (no corrections) in eV per atom: 0.058

Record 8
VASP calculation (PBE-GGA) on a relaxed ScOsSe2N crystal.

Structure (POSCAR):
```
ScOsSe2N
1.0
-1.144 4.958 -0.202
-4.954 -1.154 -0.249
-0.209 0.102 3.685
Sc Os N Se
1 1 1 2
Cartesian
-3.153 1.953 1.617
0.000 0.000 0.000
-0.104 0.051 1.842
-0.572 2.479 -0.101
-2.477 -0.577 -0.124
```

Computed properties:
Space group: P4/mmm, No. 123
D(E_F) in states/eV/f.u.: 2.70
Total magnetization in μB per cell: 0.00
Formation energy (no corrections) in eV per atom: -0.142